w:
The following is a PBE-GGA calculation of RbTaP2S after structural relaxation, from Alexandria via LeMat-Bulk.

abc: 4.999 4.999 5.113
angles: 90.00 90.00 90.00
Space group P4/mmm (No. 123)
One atom of each set of equivalent atoms:
1 Rb 0.000 0.000 0.000 x1
2 Ta 0.500 0.500 0.500 x1
3 P 0.000 0.500 0.000 x2
4 S 0.000 0.000 0.500 x1

Calculated values
Crystal system = tetragonal
N(E_F) = 1.291 states/eV/atom

---

x:
The following is a PBE-GGA calculation of RbTaP2S after structural relaxation, from Alexandria via LeMat-Bulk.

abc: 4.928 4.928 4.927
angles: 90.00 90.00 90.00
Space group P4/mmm (No. 123)
One atom of each set of equivalent atoms:
1 Rb 0.000 0.000 0.000 x1
2 Ta 0.500 0.500 0.500 x1
3 P 0.000 0.500 0.500 x2
4 S 0.500 0.500 0.000 x1

Calculated values
Crystal system = tetragonal
N(E_F) = 0.802 states/eV/atom

---

Bottom line: x, by a margin of 2.770 eV/atom.

---

w:
The following is a PBE-GGA calculation of RbTaPS2 after structural relaxation, from Alexandria via LeMat-Bulk.

abc: 5.130 5.130 5.098
angles: 90.00 90.00 90.00
Space group P4/mmm (No. 123)
One atom of each set of equivalent atoms:
1 Rb 0.000 0.000 0.000 x1
2 Ta 0.500 0.500 0.500 x1
3 P 0.000 0.000 0.500 x1
4 S 0.000 0.500 0.000 x2

Calculated values
Crystal system = tetragonal
N(E_F) = 2.067 states/eV/atom

---

x:
The following is a PBE-GGA calculation of RbTaPS2 after structural relaxation, from Alexandria via LeMat-Bulk.

abc: 4.896 4.896 4.935
angles: 90.00 90.00 90.00
Space group P4/mmm (No. 123)
One atom of each set of equivalent atoms:
1 Rb 0.000 0.000 0.000 x1
2 Ta 0.500 0.500 0.500 x1
3 P 0.500 0.500 0.000 x1
4 S 0.000 0.500 0.500 x2

Calculated values
Crystal system = tetragonal
N(E_F) = 0.447 states/eV/atom

---

Bottom line: x, by a margin of 2.919 eV/atom.

---

w:
The following is a PBE-GGA calculation of RbTcP2S after structural relaxation, from Alexandria via LeMat-Bulk.

abc: 5.298 5.298 5.419
angles: 90.00 90.00 90.00
Space group P4/mmm (No. 123)
One atom of each set of equivalent atoms:
1 Rb 0.000 0.000 0.000 x1
2 Tc 0.500 0.500 0.500 x1
3 P 0.000 0.500 0.000 x2
4 S 0.000 0.000 0.500 x1

Calculated values
Crystal system = tetragonal
N(E_F) = 0.947 states/eV/atom

---

x:
The following is a PBE-GGA calculation of RbTcP2S after structural relaxation, from Alexandria via LeMat-Bulk.

abc: 4.610 4.610 5.303
angles: 90.00 90.00 90.00
Space group P4/mmm (No. 123)
One atom of each set of equivalent atoms:
1 Rb 0.000 0.000 0.000 x1
2 Tc 0.500 0.500 0.500 x1
3 P 0.000 0.500 0.500 x2
4 S 0.500 0.500 0.000 x1

Calculated values
Crystal system = tetragonal
N(E_F) = 1.176 states/eV/atom

---

Bottom line: x, by a margin of 2.373 eV/atom.

---

w:
The following is a PBE-GGA calculation of RbTcPS2 after structural relaxation, from Alexandria via LeMat-Bulk.

abc: 4.886 4.886 4.620
angles: 90.00 90.00 90.00
Space group P4/mmm (No. 123)
One atom of each set of equivalent atoms:
1 Rb 0.000 0.000 0.000 x1
2 Tc 0.500 0.500 0.500 x1
3 P 0.500 0.500 0.000 x1
4 S 0.000 0.500 0.500 x2

Calculated values
Crystal system = tetragonal
N(E_F) = 0.961 states/eV/atom

---

x:
The following is a PBE-GGA calculation of RbTcPS2 after structural relaxation, from Alexandria via LeMat-Bulk.

abc: 5.470 5.470 5.374
angles: 90.00 90.00 90.00
Space group P4/mmm (No. 123)
One atom of each set of equivalent atoms:
1 Rb 0.000 0.000 0.000 x1
2 Tc 0.500 0.500 0.500 x1
3 P 0.000 0.000 0.500 x1
4 S 0.000 0.500 0.000 x2

Calculated values
Crystal system = tetragonal
N(E_F) = 1.001 states/eV/atom

---

Bottom line: w, by a margin of 2.268 eV/atom.

---

w:
The following is a PBE-GGA calculation of RbTePS2 after structural relaxation, from Alexandria via LeMat-Bulk.

abc: 5.784 5.784 6.432
angles: 90.00 90.00 90.00
Space group P4/mmm (No. 123)
One atom of each set of equivalent atoms:
1 Rb 0.000 0.000 0.000 x1
2 Te 0.500 0.500 0.500 x1
3 P 0.000 0.000 0.500 x1
4 S 0.000 0.500 0.000 x2

Calculated values
Crystal system = tetragonal
N(E_F) = 1.509 states/eV/atom

---

x:
The following is a PBE-GGA calculation of RbTePS2 after structural relaxation, from Alexandria via LeMat-Bulk.

abc: 5.279 5.279 5.197
angles: 90.00 90.00 90.00
Space group P4/mmm (No. 123)
One atom of each set of equivalent atoms:
1 Rb 0.000 0.000 0.000 x1
2 Te 0.500 0.500 0.500 x1
3 P 0.500 0.500 0.000 x1
4 S 0.000 0.500 0.500 x2

Calculated values
Crystal system = tetragonal
N(E_F) = 0.493 states/eV/atom

---

Bottom line: x, by a margin of 1.431 eV/atom.

---

w:
The following is a PBE-GGA calculation of RbTeP2S after structural relaxation, from Alexandria via LeMat-Bulk.

abc: 5.206 5.206 5.356
angles: 90.00 90.00 90.00
Space group P4/mmm (No. 123)
One atom of each set of equivalent atoms:
1 Rb 0.000 0.000 0.000 x1
2 Te 0.500 0.500 0.500 x1
3 P 0.000 0.500 0.500 x2
4 S 0.500 0.500 0.000 x1

Calculated values
Crystal system = tetragonal
N(E_F) = 1.102 states/eV/atom

---

x:
The following is a PBE-GGA calculation of RbTeP2S after structural relaxation, from Alexandria via LeMat-Bulk.

abc: 5.509 5.509 5.299
angles: 90.00 90.00 90.00
Space group P4/mmm (No. 123)
One atom of each set of equivalent atoms:
1 Rb 0.000 0.000 0.000 x1
2 Te 0.500 0.500 0.500 x1
3 P 0.000 0.500 0.000 x2
4 S 0.000 0.000 0.500 x1

Calculated values
Crystal system = tetragonal
N(E_F) = 1.188 states/eV/atom

---

Bottom line: w, by a margin of 1.400 eV/atom.

---

w:
The following is a PBE-GGA calculation of RbTiP2S after structural relaxation, from Alexandria via LeMat-Bulk.

abc: 5.147 5.147 5.274
angles: 90.00 90.00 90.00
Space group P4/mmm (No. 123)
One atom of each set of equivalent atoms:
1 Rb 0.000 0.000 0.000 x1
2 Ti 0.500 0.500 0.500 x1
3 P 0.000 0.500 0.000 x2
4 S 0.000 0.000 0.500 x1

Calculated values
Crystal system = tetragonal
N(E_F) = 2.015 states/eV/atom

---

x:
The following is a PBE-GGA calculation of RbTiP2S after structural relaxation, from Alexandria via LeMat-Bulk.

abc: 4.830 4.830 4.924
angles: 90.00 90.00 90.00
Space group P4/mmm (No. 123)
One atom of each set of equivalent atoms:
1 Rb 0.000 0.000 0.000 x1
2 Ti 0.500 0.500 0.500 x1
3 P 0.000 0.500 0.500 x2
4 S 0.500 0.500 0.000 x1

Calculated values
Crystal system = tetragonal
N(E_F) = 0.820 states/eV/atom

---

Bottom line: x, by a margin of 2.287 eV/atom.

---

w:
The following is a PBE-GGA calculation of RbTlPS2 after structural relaxation, from Alexandria via LeMat-Bulk.

abc: 5.379 5.379 5.276
angles: 90.00 90.00 90.00
Space group P4/mmm (No. 123)
One atom of each set of equivalent atoms:
1 Rb 0.000 0.000 0.000 x1
2 Tl 0.500 0.500 0.500 x1
3 P 0.500 0.500 0.000 x1
4 S 0.000 0.500 0.500 x2

Calculated values
Crystal system = tetragonal
N(E_F) = 0.960 states/eV/atom

---

x:
The following is a PBE-GGA calculation of RbTlPS2 after structural relaxation, from Alexandria via LeMat-Bulk.

abc: 6.013 6.013 6.263
angles: 90.00 90.00 90.00
Space group P4/mmm (No. 123)
One atom of each set of equivalent atoms:
1 Rb 0.000 0.000 0.000 x1
2 Tl 0.500 0.500 0.500 x1
3 P 0.000 0.000 0.500 x1
4 S 0.000 0.500 0.000 x2

Calculated values
Crystal system = tetragonal
N(E_F) = 0.938 states/eV/atom

---

Bottom line: w, by a margin of 0.713 eV/atom.

---

w:
The following is a PBE-GGA calculation of RbPWS2 after structural relaxation, from Alexandria via LeMat-Bulk.

abc: 4.834 4.834 4.784
angles: 90.00 90.00 90.00
Space group P4/mmm (No. 123)
One atom of each set of equivalent atoms:
1 Rb 0.000 0.000 0.000 x1
2 P 0.500 0.500 0.000 x1
3 W 0.500 0.500 0.500 x1
4 S 0.000 0.500 0.500 x2

Calculated values
Crystal system = tetragonal
N(E_F) = 0.751 states/eV/atom

---

x:
The following is a PBE-GGA calculation of RbPWS2 after structural relaxation, from Alexandria via LeMat-Bulk.

abc: 5.435 5.435 5.303
angles: 90.00 90.00 90.00
Space group P4/mmm (No. 123)
One atom of each set of equivalent atoms:
1 Rb 0.000 0.000 0.000 x1
2 P 0.000 0.000 0.500 x1
3 W 0.500 0.500 0.500 x1
4 S 0.000 0.500 0.000 x2

Calculated values
Crystal system = tetragonal
N(E_F) = 0.791 states/eV/atom

---

Bottom line: w, by a margin of 2.806 eV/atom.

---

w:
The following is a PBE-GGA calculation of RbZnP2S after structural relaxation, from Alexandria via LeMat-Bulk.

abc: 4.773 4.773 5.189
angles: 90.00 90.00 90.00
Space group P4/mmm (No. 123)
One atom of each set of equivalent atoms:
1 Rb 0.000 0.000 0.000 x1
2 Zn 0.500 0.500 0.500 x1
3 P 0.000 0.500 0.500 x2
4 S 0.500 0.500 0.000 x1

Calculated values
Crystal system = tetragonal
N(E_F) = 0.751 states/eV/atom

---

x:
The following is a PBE-GGA calculation of RbZnP2S after structural relaxation, from Alexandria via LeMat-Bulk.

abc: 7.185 7.185 6.396
angles: 90.00 90.00 90.00
Space group P4/mmm (No. 123)
One atom of each set of equivalent atoms:
1 Rb 0.000 0.000 0.000 x1
2 Zn 0.500 0.500 0.500 x1
3 P 0.000 0.500 0.000 x2
4 S 0.000 0.000 0.500 x1

Calculated values
Crystal system = tetragonal
N(E_F) = 1.603 states/eV/atom

---

Bottom line: w, by a margin of 1.245 eV/atom.

---

w:
The following is a PBE-GGA calculation of RbZnPS2 after structural relaxation, from Alexandria via LeMat-Bulk.

abc: 6.642 6.642 7.212
angles: 90.00 90.00 90.00
Space group P4/mmm (No. 123)
One atom of each set of equivalent atoms:
1 Rb 0.000 0.000 0.000 x1
2 Zn 0.500 0.500 0.500 x1
3 P 0.000 0.000 0.500 x1
4 S 0.000 0.500 0.000 x2

Calculated values
Crystal system = tetragonal
N(E_F) = 1.493 states/eV/atom

---

x:
The following is a PBE-GGA calculation of RbZnPS2 after structural relaxation, from Alexandria via LeMat-Bulk.

abc: 5.032 5.032 4.648
angles: 90.00 90.00 90.00
Space group P4/mmm (No. 123)
One atom of each set of equivalent atoms:
1 Rb 0.000 0.000 0.000 x1
2 Zn 0.500 0.500 0.500 x1
3 P 0.500 0.500 0.000 x1
4 S 0.000 0.500 0.500 x2

Calculated values
Crystal system = tetragonal
N(E_F) = 0.808 states/eV/atom

---

Bottom line: x, by a margin of 1.241 eV/atom.

---

w:
The following is a PBE-GGA calculation of Rb2SbP after structural relaxation, from Alexandria via LeMat-Bulk.

abc: 8.321 8.321 8.321
angles: 90.00 90.00 90.00
Space group Fm-3m (No. 225)
One atom of each set of equivalent atoms:
1 Rb 0.250 0.250 0.250 x8
2 Sb 0.000 0.000 0.000 x4
3 P 0.000 0.000 0.500 x4

Calculated values
Crystal system = cubic
N(E_F) = 0.994 states/eV/atom

---

x:
The following is a PBE-GGA calculation of Rb2SbP after structural relaxation, from Alexandria via LeMat-Bulk.

abc: 13.056 13.056 5.232
angles: 90.00 90.00 90.00
Space group I-42d (No. 122)
One atom of each set of equivalent atoms:
1 Rb 0.035 0.250 0.125 x8
2 Sb 0.000 0.000 0.500 x4
3 P 0.000 0.000 0.000 x4

Calculated values
Crystal system = tetragonal
N(E_F) = 0.963 states/eV/atom

---

Bottom line: x, by a margin of 0.397 eV/atom.